(1)
Here is a relaxed structure of CaYHo from Alexandria via LeMat-Bulk. Energies are from GGA-PBE.

a = 5.7264 Å, b = 5.7264 Å, c = 23.6064 Å
α = 90.00°, β = 90.00°, γ = 120.00°
Space group R-3m (No. 166, hexagonal axes)
One atom of each set of equivalent atoms:
Ca 0.0000 0.0000 0.1335 x6
Y 0.0000 0.0000 0.4343 x6
Ho 0.0000 0.0000 0.2943 x6

Computed properties:
- E above lowest polymorph: 0.385 eV per atom
- Crystal system: trigonal
- Formation energy from the elements: 0.43 eV per atom
- Total magnetic moment: 0.0 μB/cell
- Mass density: 4.37 g/cm3

=====

(2)
Here is a relaxed structure of NbTeI from Alexandria via LeMat-Bulk. Energies are from GGA-PBE.

a = 6.373 Å, b = 3.680 Å, c = 7.833 Å
α = 90.00°, β = 105.92°, γ = 90.00°
Space group Cm (No. 8)
One atom of each set of equivalent atoms:
Nb 0.000 0.000 0.000 x2
Te 0.249 0.500 0.244 x2
I 0.082 0.500 0.750 x2

Computed properties:
- E above lowest polymorph: 0.038 eV per atom
- Crystal system: monoclinic
- Total magnetic moment: 0.0 μB/cell
- Mass density: 6.53 g/cm3
- Formation energy without anion corrections: -0.459 eV per atom

=====

(3)
Here is a relaxed structure of Na3Dy3PuSe8 from Alexandria via LeMat-Bulk. Energies are from GGA-PBE.

a = 8.2824 Å, b = 8.2824 Å, c = 21.1072 Å
α = 90.00°, β = 90.00°, γ = 120.00°
Space group R-3m (No. 166, hexagonal axes)
One atom of each set of equivalent atoms:
Na 0.0000 0.5000 0.0000 x9
Dy 0.0000 0.5000 0.5000 x9
Pu 0.0000 0.0000 0.5000 x3
Se 0.0000 0.0000 0.2432 x6
Se 0.0033 0.5016 0.2415 x18

Computed properties:
- Crystal system: trigonal
- Total magnetic moment: 12.0 μB/cell
- Mass density: 5.69 g/cm3
- Formation energy without anion corrections: -1.592 eV per atom

=====

(4)
Here is a relaxed structure of SrMn2Ag from Alexandria via LeMat-Bulk. Energies are from GGA-PBE.

a = 4.276 Å, b = 4.276 Å, c = 4.831 Å
α = 90.00°, β = 90.00°, γ = 90.00°
Space group P4/mmm (No. 123)
One atom of each set of equivalent atoms:
Sr 0.000 0.000 0.000 x1
Mn 0.000 0.500 0.500 x2
Ag 0.500 0.500 0.000 x1

Computed properties:
- Crystal system: tetragonal
- Formation energy from the elements: 0.61 eV per atom
- Total magnetic moment: 7.8 μB/cell
- Mass density: 5.74 g/cm3